Entry 1:
The following is a DFT calculation (GGA-PBE) of a relaxed structure of TcMoRu2.

Cell lengths 2.7332, 2.7332, 27.0484 Å; angles 90.00, 90.00, 120.00 degrees
Last column: nearest neighbours and their distance in Å.
Space group R-3m (No. 166, hexagonal axes)
Symmetry-distinct sites (fractional):
Tc 0.0000 0.0000 0.0000 [3 per cell]  6 Ru 2.72, 6 Tc 2.73
Mo 0.0000 0.0000 0.5000 [3 per cell]  6 Mo 2.73, 6 Ru 2.78
Ru 0.0000 0.0000 0.2512 [6 per cell]  3 Tc 2.72, 6 Ru 2.73, 3 Mo 2.78

ΔE_f	0.096	eV/atom

Entry 2:
The following is a DFT calculation (GGA-PBE) of a relaxed structure of Tc4MoRu.

Cell lengths 7.1562, 7.1562, 7.1562 Å; angles 90.00, 90.00, 90.00 degrees
Last column: nearest neighbours and their distance in Å.
Space group F-43m (No. 216)
Symmetry-distinct sites (fractional):
Tc 0.1243 0.1243 0.3757 [16 per cell]  6 Tc 2.51-2.55
Mo 0.0000 0.0000 0.0000 [4 per cell]  12 Tc 2.97, 4 Ru 3.10
Ru 0.2500 0.2500 0.7500 [4 per cell]  12 Tc 2.97, 4 Mo 3.10

ΔE_f	0.231	eV/atom

Entry 3:
The following is a DFT calculation (GGA-PBE) of a relaxed structure of TcMoRu2.

Cell lengths 3.8826, 3.8826, 7.7269 Å; angles 90.00, 90.00, 90.00 degrees
Last column: nearest neighbours and their distance in Å.
Space group I4/mmm (No. 139)
Symmetry-distinct sites (fractional):
Tc 0.0000 0.0000 0.0000 [2 per cell]  8 Ru 2.74, 4 Mo 2.75
Mo 0.0000 0.0000 0.5000 [2 per cell]  8 Ru 2.74, 4 Tc 2.75
Ru 0.0000 0.5000 0.2500 [4 per cell]  4 Mo 2.74, 4 Tc 2.74, 4 Ru 2.75

ΔE_f	0.031	eV/atom

Entry 4:
The following is a DFT calculation (GGA-PBE) of a relaxed structure of TcMoRu2.

Cell lengths 9.0705, 2.7545, 4.7578 Å; angles 90.00, 100.41, 90.00 degrees
Last column: nearest neighbours and their distance in Å.
Space group Cm (No. 8)
Symmetry-distinct sites (fractional):
Tc 0.0000 0.0000 0.0000 [2 per cell]  7 Ru 2.67-2.82, 2 Tc 2.75, 3 Mo 2.80
Mo 0.2537 0.5000 0.2785 [2 per cell]  7 Ru 2.68-2.76, 2 Mo 2.75, 3 Tc 2.80
Ru 0.0090 0.5000 0.5195 [2 per cell]  3 Mo 2.68-2.76, 4 Tc 2.68-2.82, 5 Ru 2.70-2.84
Ru 0.2513 0.0000 0.7811 [2 per cell]  3 Tc 2.67-2.69, 5 Ru 2.70-2.84, 4 Mo 2.73-2.76

ΔE_f	0.067	eV/atom